1.
An optimized crystal structure of LuPa2Tc. Source: the Alexandria database, functional PBE.

relative energy among the computed polymorphs	0.30	eV per formula unit
ρ	11.9	g/cm3

CIF file:
```
data_LuPa2Tc
_chemical_formula_sum 'Lu3 Pa6 Tc3'
_cell_length_a 3.6802
_cell_length_b 3.6802
_cell_length_c 26.2302
_cell_angle_alpha 90.00
_cell_angle_beta 90.00
_cell_angle_gamma 120.00
_symmetry_space_group_name_H-M 'R -3 m'
_symmetry_Int_Tables_number 166
_symmetry_space_group_name_Hall '-R 3 2"'
loop_
_atom_site_label
_atom_site_fract_x
_atom_site_fract_y
_atom_site_fract_z
Lu1 0.0000 0.0000 0.0000
Pa1 0.0000 0.0000 0.2317
Tc1 0.0000 0.0000 0.5000
```

***

2.
An optimized crystal structure of PmAlCo2C. Source: the Alexandria database, functional PBE.

ρ	6.9	g/cm3

CIF file:
```
data_PmAlCo2C
_chemical_formula_sum 'Pm4 Al4 Co8 C4'
_cell_length_a 3.941
_cell_length_b 10.690
_cell_length_c 6.874
_cell_angle_alpha 90.00
_cell_angle_beta 90.00
_cell_angle_gamma 90.00
_symmetry_space_group_name_H-M 'C m c m'
_symmetry_Int_Tables_number 63
_symmetry_space_group_name_Hall '-C 2c 2'
loop_
_atom_site_label
_atom_site_fract_x
_atom_site_fract_y
_atom_site_fract_z
Pm1 0.000 0.056 0.250
Al1 0.000 0.225 0.750
Co1 0.000 0.340 0.061
C1 0.000 0.500 0.000
```

***

3.
An optimized crystal structure of LiHoGe2Ru. Source: the Alexandria database, functional PBE.

ρ	7.9	g/cm3

CIF file:
```
data_LiHoGe2Ru
_chemical_formula_sum 'Li2 Ho2 Ge4 Ru2'
_cell_length_a 4.055
_cell_length_b 4.055
_cell_length_c 10.704
_cell_angle_alpha 90.00
_cell_angle_beta 90.00
_cell_angle_gamma 90.00
_symmetry_space_group_name_H-M 'I -4 m 2'
_symmetry_Int_Tables_number 119
_symmetry_space_group_name_Hall 'I -4 -2'
loop_
_atom_site_label
_atom_site_fract_x
_atom_site_fract_y
_atom_site_fract_z
Li1 0.000 0.000 0.000
Ho1 0.000 0.500 0.750
Ge1 0.000 0.500 0.131
Ru1 0.000 0.000 0.500
```

***

4.
An optimized crystal structure of Mn2BeHg. Source: the Alexandria database, functional PBE.

relative energy among the computed polymorphs	0.72	eV per formula unit
ρ	9.2	g/cm3

CIF file:
```
data_Mn2BeHg
_chemical_formula_sum 'Mn4 Be2 Hg2'
_cell_length_a 2.979
_cell_length_b 4.405
_cell_length_c 8.823
_cell_angle_alpha 90.00
_cell_angle_beta 90.00
_cell_angle_gamma 90.00
_symmetry_space_group_name_H-M 'I m m 2'
_symmetry_Int_Tables_number 44
_symmetry_space_group_name_Hall 'I 2 -2'
loop_
_atom_site_label
_atom_site_fract_x
_atom_site_fract_y
_atom_site_fract_z
Mn1 0.000 0.000 0.000
Mn2 0.000 0.500 0.227
Be1 0.000 0.500 0.717
Hg1 0.000 0.000 0.443
```

***

5.
An optimized crystal structure of Er5Ni2Ru. Source: the Alexandria database, functional PBE.

ρ	9.9	g/cm3

CIF file:
```
data_Er5Ni2Ru
_chemical_formula_sum 'Er20 Ni8 Ru4'
_cell_length_a 7.009
_cell_length_b 7.009
_cell_length_c 14.369
_cell_angle_alpha 90.00
_cell_angle_beta 90.00
_cell_angle_gamma 90.00
_symmetry_space_group_name_H-M 'I 4/m c m'
_symmetry_Int_Tables_number 140
_symmetry_space_group_name_Hall '-I 4 2c'
loop_
_atom_site_label
_atom_site_fract_x
_atom_site_fract_y
_atom_site_fract_z
Er1 0.000 0.000 0.000
Er2 0.175 0.325 0.146
Ni1 0.119 0.381 0.500
Ru1 0.000 0.000 0.250
```

***

6.
An optimized crystal structure of Sr2AlAu. Source: the Alexandria database, functional PBE.

ρ	4.8	g/cm3

CIF file:
```
data_Sr2AlAu
_chemical_formula_sum 'Sr8 Al4 Au4'
_cell_length_a 8.638
_cell_length_b 8.638
_cell_length_c 7.344
_cell_angle_alpha 90.00
_cell_angle_beta 90.00
_cell_angle_gamma 90.00
_symmetry_space_group_name_H-M 'I -4 2 d'
_symmetry_Int_Tables_number 122
_symmetry_space_group_name_Hall 'I -4 2bw'
loop_
_atom_site_label
_atom_site_fract_x
_atom_site_fract_y
_atom_site_fract_z
Sr1 0.225 0.250 0.125
Al1 0.000 0.000 0.500
Au1 0.000 0.000 0.000
```

***

| no. | ΔE_f (eV/atom) | M_tot (μB per formula unit) |
| --- | --- | --- |
| 1 | 0.1477 | 0.00 |
| 2 | -0.3337 | 0.00 |
| 3 | -0.5300 | 0.00 |
| 4 | 0.4081 | 6.71 |
| 5 | -0.3975 | 0.00 |
| 6 | -0.0894 | 0.00 |